The following is a PBE-GGA calculation of a geometry-optimized KReRh structure, from Alexandria.

Values from the calculation:
Distance to the lowest polymorph of the same formula: 69.4 kJ/mol of atoms
Calculated formation energy: 1.41 eV per atom

Cell and atoms, written as CIF:
```
data_KReRh
_chemical_formula_sum 'K1 Re1 Rh1'
_symmetry_space_group_name_H-M 'P -6 m 2'
_symmetry_Int_Tables_number 187
_symmetry_space_group_name_Hall 'P -6 2'
_cell_length_a 4.9292
_cell_length_b 4.9292
_cell_length_c 2.6476
_cell_angle_alpha 90.00
_cell_angle_beta 90.00
_cell_angle_gamma 120.00
loop_
_atom_site_label
_atom_site_fract_x
_atom_site_fract_y
_atom_site_fract_z
K1 0.0000 0.0000 0.0000
Re1 0.6667 0.3333 0.5000
Rh1 0.3333 0.6667 0.5000
```

=====

The following is a PBE-GGA calculation of a geometry-optimized Li2SmHo2Si2 structure, from Alexandria.

Values from the calculation:
Energy relative to the elements, uncorrected: -396 meV/atom

Cell and atoms, written as CIF:
```
data_Li2SmHo2Si2
_chemical_formula_sum 'Li6 Sm3 Ho6 Si6'
_symmetry_space_group_name_H-M 'R -3 m'
_symmetry_Int_Tables_number 166
_symmetry_space_group_name_Hall '-R 3 2"'
_cell_length_a 4.4623
_cell_length_b 4.4623
_cell_length_c 26.3981
_cell_angle_alpha 90.00
_cell_angle_beta 90.00
_cell_angle_gamma 120.00
loop_
_atom_site_label
_atom_site_fract_x
_atom_site_fract_y
_atom_site_fract_z
Li1 0.0000 0.0000 0.0959
Sm1 0.0000 0.0000 0.5000
Ho1 0.0000 0.0000 0.3719
Si1 0.0000 0.0000 0.2400
```

=====

The following is a PBE-GGA calculation of a geometry-optimized Hf4AsC structure, from Alexandria.

Values from the calculation:
Calculated formation energy: -0.50 eV per atom

Cell and atoms, written as CIF:
```
data_Hf4AsC
_chemical_formula_sum 'Hf16 As4 C4'
_symmetry_space_group_name_H-M 'I 41 m d'
_symmetry_Int_Tables_number 109
_symmetry_space_group_name_Hall 'I 4bw -2'
_cell_length_a 8.070
_cell_length_b 8.070
_cell_length_c 7.324
_cell_angle_alpha 90.00
_cell_angle_beta 90.00
_cell_angle_gamma 90.00
loop_
_atom_site_label
_atom_site_fract_x
_atom_site_fract_y
_atom_site_fract_z
Hf1 0.000 0.288 0.000
Hf2 0.000 0.312 0.430
As1 0.000 0.000 0.480
C1 0.000 0.000 0.952
```

=====

| no. | total DFT energy (no corrections) (Ry/atom) | D(E_F) (states/eV per cell) |
| --- | --- | --- |
| 1 | -0.4084 | 5.13 |
| 2 | -0.3289 | 9.87 |
| 3 | -0.6942 | 9.15 |